# 1
# Er7Ga2Si2 (PBE, optimized geometry)
data_Er7Ga2Si2
_chemical_formula_sum 'Er14 Ga4 Si4'
_cell_length_a 7.429
_cell_length_b 10.684
_cell_length_c 7.187
_cell_angle_alpha 90.00
_cell_angle_beta 90.00
_cell_angle_gamma 90.00
_symmetry_space_group_name_H-M 'C m m m'
_symmetry_Int_Tables_number 65
_symmetry_space_group_name_Hall '-C 2 2'
loop_
_atom_site_label
_atom_site_type_symbol
_atom_site_fract_x
_atom_site_fract_y
_atom_site_fract_z
Er1 Er 0.000 0.000 0.000
Er2 Er 0.000 0.500 0.263
Er3 Er 0.250 0.250 0.288
Ga1 Ga 0.000 0.291 0.000
Si1 Si 0.166 0.000 0.500
# - Electronic total energy: -4.64 eV/atom
# - Formation energy from raw total energies: -0.204 eV per atom

***

# 2
# AcLa4Ho6 (PBE, optimized geometry)
data_AcLa4Ho6
_chemical_formula_sum 'Ac2 La8 Ho12'
_cell_length_a 6.845
_cell_length_b 6.845
_cell_length_c 17.062
_cell_angle_alpha 90.00
_cell_angle_beta 90.00
_cell_angle_gamma 90.00
_symmetry_space_group_name_H-M 'I -4 2 m'
_symmetry_Int_Tables_number 121
_symmetry_space_group_name_Hall 'I -4 2'
loop_
_atom_site_label
_atom_site_type_symbol
_atom_site_fract_x
_atom_site_fract_y
_atom_site_fract_z
Ac1 Ac 0.000 0.000 0.000
La1 La 0.193 0.193 0.178
Ho1 Ho 0.000 0.500 0.000
Ho2 Ho 0.175 0.175 0.382
# - Formation energy from the elements: 7.4 kcal/mol of atoms
# - Electronic total energy: -4.34 eV/atom

***

# 3
# Mg2Sc5AgPd2 (PBE, optimized geometry)
data_Mg2Sc5AgPd2
_chemical_formula_sum 'Mg4 Sc10 Ag2 Pd4'
_cell_length_a 11.216
_cell_length_b 11.216
_cell_length_c 3.473
_cell_angle_alpha 90.00
_cell_angle_beta 90.00
_cell_angle_gamma 90.00
_symmetry_space_group_name_H-M 'P 4/m b m'
_symmetry_Int_Tables_number 127
_symmetry_space_group_name_Hall '-P 4 2ab'
loop_
_atom_site_label
_atom_site_type_symbol
_atom_site_fract_x
_atom_site_fract_y
_atom_site_fract_z
Mg1 Mg 0.173 0.327 0.000
Sc1 Sc 0.000 0.500 0.500
Sc2 Sc 0.071 0.802 0.500
Ag1 Ag 0.000 0.000 0.000
Pd1 Pd 0.132 0.632 0.000
# - Formation energy from the elements: -9.5 kcal/mol of atoms
# - Electronic total energy: -5.22 eV/atom

***

# 4
# Ta2MoW (PBE, optimized geometry)
data_Ta2MoW
_chemical_formula_sum 'Ta6 Mo3 W3'
_cell_length_a 3.0808
_cell_length_b 3.0808
_cell_length_c 25.4997
_cell_angle_alpha 90.00
_cell_angle_beta 90.00
_cell_angle_gamma 120.00
_symmetry_space_group_name_H-M 'R -3 m'
_symmetry_Int_Tables_number 166
_symmetry_space_group_name_Hall '-R 3 2"'
loop_
_atom_site_label
_atom_site_type_symbol
_atom_site_fract_x
_atom_site_fract_y
_atom_site_fract_z
Ta1 Ta 0.0000 0.0000 0.2492
Mo1 Mo 0.0000 0.0000 0.5000
W1 W 0.0000 0.0000 0.0000
# - Formation energy from the elements: 6.0 kcal/mol of atoms
# - Electronic total energy: -11.61 eV/atom

***

# 5
# Pu2AlPd (PBE, optimized geometry)
data_Pu2AlPd
_chemical_formula_sum 'Pu2 Al1 Pd1'
_cell_length_a 2.591
_cell_length_b 2.591
_cell_length_c 9.876
_cell_angle_alpha 90.00
_cell_angle_beta 90.00
_cell_angle_gamma 90.00
_symmetry_space_group_name_H-M 'P 4/m m m'
_symmetry_Int_Tables_number 123
_symmetry_space_group_name_Hall '-P 4 2'
loop_
_atom_site_label
_atom_site_type_symbol
_atom_site_fract_x
_atom_site_fract_y
_atom_site_fract_z
Pu1 Pu 0.000 0.000 0.249
Al1 Al 0.500 0.500 0.000
Pd1 Pd 0.500 0.500 0.500
# - Formation energy from the elements: 4.7 kcal/mol of atoms
# - Electronic total energy: -9.19 eV/atom

***

# 6
# Ag2Bi5Pd12 (PBE, optimized geometry)
data_Ag2Bi5Pd12
_chemical_formula_sum 'Ag4 Bi10 Pd24'
_cell_length_a 15.564
_cell_length_b 5.579
_cell_length_c 9.421
_cell_angle_alpha 90.00
_cell_angle_beta 107.45
_cell_angle_gamma 90.00
_symmetry_space_group_name_H-M 'C 1 2/m 1'
_symmetry_Int_Tables_number 12
_symmetry_space_group_name_Hall '-C 2y'
loop_
_atom_site_label
_atom_site_type_symbol
_atom_site_fract_x
_atom_site_fract_y
_atom_site_fract_z
Ag1 Ag 0.000 0.244 0.000
Bi1 Bi 0.000 0.000 0.500
Bi2 Bi 0.143 0.500 0.854
Bi3 Bi 0.182 0.500 0.347
Pd1 Pd 0.013 0.500 0.361
Pd2 Pd 0.106 0.000 0.295
Pd3 Pd 0.159 0.254 0.601
Pd4 Pd 0.194 0.240 0.108
# - Formation energy from the elements: -2.1 kcal/mol of atoms
# - Electronic total energy: -4.69 eV/atom

***

# 7
# Sm3Tm3Th (PBE, optimized geometry)
data_Sm3Tm3Th
_chemical_formula_sum 'Sm18 Tm18 Th6'
_cell_length_a 8.5929
_cell_length_b 8.5929
_cell_length_c 21.9393
_cell_angle_alpha 90.00
_cell_angle_beta 90.00
_cell_angle_gamma 120.00
_symmetry_space_group_name_H-M 'R -3'
_symmetry_Int_Tables_number 148
_symmetry_space_group_name_Hall '-R 3'
loop_
_atom_site_label
_atom_site_type_symbol
_atom_site_fract_x
_atom_site_fract_y
_atom_site_fract_z
Sm1 Sm 0.0453 0.4478 0.3821
Tm1 Tm 0.0038 0.2322 0.5582
Th1 Th 0.0000 0.0000 0.1571
# - Energy relative to the lowest polymorph listed for this composition: 0.204 eV per atom
# - Formation energy from the elements: 5.3 kcal/mol of atoms
# - Electronic total energy: -4.77 eV/atom

***

# 8
# Cd2SbSe4 (PBE, optimized geometry)
data_Cd2SbSe4
_chemical_formula_sum 'Cd8 Sb4 Se16'
_cell_length_a 4.113
_cell_length_b 13.631
_cell_length_c 12.505
_cell_angle_alpha 90.00
_cell_angle_beta 90.00
_cell_angle_gamma 90.00
_symmetry_space_group_name_H-M 'C m c m'
_symmetry_Int_Tables_number 63
_symmetry_space_group_name_Hall '-C 2c 2'
loop_
_atom_site_label
_atom_site_type_symbol
_atom_site_fract_x
_atom_site_fract_y
_atom_site_fract_z
Cd1 Cd 0.000 0.134 0.060
Sb1 Sb 0.000 0.401 0.250
Se1 Se 0.000 0.038 0.250
Se2 Se 0.000 0.229 0.630
Se3 Se 0.000 0.500 0.000
# - Electronic total energy: -3.10 eV/atom
# - Formation energy from raw total energies: -0.258 eV per atom